1.
The following is a PBE-GGA calculation of a relaxed structure of CsZrIn, from Alexandria.

Calculated values
- E (eV/cell) = -43.8

Cell: 12.1574 3.3673 10.5740 Å, 90.00 90.00 90.00°
Last column: nearest neighbours and their distance in Å.
Positions (direct):
Cs1 0.3583 0.2500 0.0694  2 Cs 3.37, 1 In 3.77
Cs2 0.1417 0.7500 0.5694  2 Cs 3.37, 1 In 3.77
Cs3 0.6417 0.7500 0.9306  2 Cs 3.37, 1 In 3.77
Cs4 0.8583 0.2500 0.4306  2 Cs 3.37, 1 In 3.77
In1 0.1111 0.7500 0.2147  3 Zr 3.09-3.19, 2 In 3.37
In2 0.3889 0.2500 0.7147  3 Zr 3.09-3.19, 2 In 3.37
In3 0.6111 0.7500 0.2853  3 Zr 3.09-3.19, 2 In 3.37
In4 0.8889 0.2500 0.7853  3 Zr 3.09-3.19, 2 In 3.37
Zr1 0.9314 0.2500 0.0826  2 Zr 2.94, 3 In 3.09-3.19
Zr2 0.0686 0.7500 0.9174  2 Zr 2.94, 3 In 3.09-3.19
Zr3 0.4314 0.2500 0.4174  2 Zr 2.94, 3 In 3.09-3.19
Zr4 0.5686 0.7500 0.5826  2 Zr 2.94, 3 In 3.09-3.19

---

2.
The following is a PBE-GGA calculation of a relaxed structure of YTi4Ir5, from Alexandria.

Calculated values
- E (eV/cell) = -90.5

Cell: 3.1187 3.1187 16.6182 Å, 90.00 90.00 90.00°
Last column: nearest neighbours and their distance in Å.
Positions (direct):
Ir1 0.5000 0.5000 0.8682  4 Ti 2.62
Ir2 0.5000 0.5000 0.3164  8 Ti 2.67-2.75
Ir3 0.5000 0.5000 0.6836  8 Ti 2.67-2.75
Ir4 0.5000 0.5000 0.1318  4 Ti 2.62
Ir5 0.5000 0.5000 0.5000  8 Ti 2.69
Ti1 0.0000 0.0000 0.2174  8 Ir 2.62-2.75
Ti2 0.0000 0.0000 0.7826  8 Ir 2.62-2.75
Ti3 0.0000 0.0000 0.5930  8 Ir 2.67-2.69
Ti4 0.0000 0.0000 0.4070  8 Ir 2.67-2.69
Y1 0.0000 0.0000 0.0000  8 Ir 3.11, 4 Y 3.12